(1)
## NiBiSbTe2 (GGA-PBE)

Data for an optimized crystal structure of NiBiSbTe2.

Output
Formation energy without anion corrections ... 0.20 eV/atom

Lattice parameters (Å, degrees): 5.238 5.238 4.857 90.00 90.00 90.00
Space group P4/mmm (No. 123)
Unique sites:
Ni 0.000 0.000 0.000 [1 per cell]
Bi 0.500 0.500 0.500 [1 per cell]
Sb 0.000 0.000 0.500 [1 per cell]
Te 0.000 0.500 0.000 [2 per cell]

=====

(2)
## YSb2Rh3 (GGA-PBE)

Data for an optimized crystal structure of YSb2Rh3.

Output
Formation energy without anion corrections ... -0.71 eV/atom

Lattice parameters (Å, degrees): 17.397 4.181 10.136 90.00 107.34 90.00
Space group C2/m (No. 12)
Unique sites:
Y 0.000 0.000 0.000 [2 per cell]
Y 0.162 0.000 0.708 [4 per cell]
Sb 0.042 0.500 0.782 [4 per cell]
Sb 0.139 0.500 0.458 [4 per cell]
Sb 0.190 0.000 0.125 [4 per cell]
Rh 0.000 0.500 0.500 [2 per cell]
Rh 0.041 0.000 0.328 [4 per cell]
Rh 0.113 0.500 0.193 [4 per cell]
Rh 0.183 0.500 0.958 [4 per cell]
Rh 0.215 0.000 0.392 [4 per cell]

=====

(3)
## Be5Al4Fe2 (GGA-PBE)

Data for an optimized crystal structure of Be5Al4Fe2.

Output
Formation enthalpy at 0 K ... -0.163 eV per atom

Lattice parameters (Å, degrees): 7.531 4.372 7.808 90.00 104.57 90.00
Space group C2/m (No. 12)
Unique sites:
Be 0.000 0.000 0.000 [2 per cell]
Be 0.250 0.250 0.000 [4 per cell]
Be 0.250 0.250 0.500 [4 per cell]
Al 0.052 0.500 0.197 [4 per cell]
Al 0.082 0.000 0.695 [4 per cell]
Fe 0.229 0.000 0.248 [4 per cell]

=====

(4)
## LiLa2Ga3Rh4 (GGA-PBE)

Data for an optimized crystal structure of LiLa2Ga3Rh4.

Output
Formation enthalpy at 0 K ... -0.757 eV per atom

Lattice parameters (Å, degrees): 4.256 4.256 10.433 90.00 90.00 90.00
Space group P-4m2 (No. 115)
Unique sites:
Li 0.000 0.000 0.000 [1 per cell]
La 0.000 0.500 0.747 [2 per cell]
Ga 0.000 0.500 0.377 [2 per cell]
Ga 0.500 0.500 0.000 [1 per cell]
Rh 0.000 0.000 0.500 [1 per cell]
Rh 0.000 0.500 0.137 [2 per cell]
Rh 0.500 0.500 0.500 [1 per cell]

=====

(5)
## AlNiHg (GGA-PBE)

Data for an optimized crystal structure of AlNiHg.

Output
Formation enthalpy at 0 K ... -0.013 eV per atom

Lattice parameters (Å, degrees): 5.969 5.969 5.969 90.00 90.00 90.00
Space group F-43m (No. 216)
Unique sites:
Al 0.000 0.000 0.000 [4 per cell]
Ni 0.250 0.250 0.250 [4 per cell]
Hg 0.000 0.000 0.500 [4 per cell]

=====

(6)
## Li6ZnPb2 (GGA-PBE)

Data for an optimized crystal structure of Li6ZnPb2.

Output
Formation enthalpy at 0 K ... -0.179 eV per atom

Lattice parameters (Å, degrees): 11.769 5.859 5.042 90.00 97.30 90.00
Space group C2/m (No. 12)
Unique sites:
Li 0.098 0.245 0.171 [8 per cell]
Li 0.203 0.500 0.743 [4 per cell]
Zn 0.000 0.500 0.500 [2 per cell]
Pb 0.137 0.000 0.679 [4 per cell]

=====

(7)
## Zr2NbMo2 (GGA-PBE)

Data for an optimized crystal structure of Zr2NbMo2.

Output
Formation enthalpy at 0 K ... 0.232 eV per atom

Lattice parameters (Å, degrees): 6.622 6.622 4.595 90.00 90.00 90.00
Space group P4/mbm (No. 127)
Unique sites:
Zr 0.175 0.325 0.000 [4 per cell]
Nb 0.000 0.000 0.500 [2 per cell]
Mo 0.135 0.635 0.500 [4 per cell]

=====

(8)
## DyCd2RhO6 (GGA-PBE)

Data for an optimized crystal structure of DyCd2RhO6.

Output
Formation energy without anion corrections ... -1.46 eV/atom

Lattice parameters (Å, degrees): 5.611 5.708 9.815 90.00 124.63 90.00
Space group P2_1/c (No. 14)
Unique sites:
Dy 0.000 0.000 0.000 [2 per cell]
Cd 0.254 0.045 0.748 [4 per cell]
Rh 0.500 0.000 0.500 [2 per cell]
O 0.157 0.059 0.268 [4 per cell]
O 0.262 0.675 0.056 [4 per cell]
O 0.397 0.209 0.064 [4 per cell]